The following is a DFT calculation (PBE) of a relaxed NbInCu2 crystal. Values from VASP.

Geometry as Quantum ESPRESSO input:
```
&SYSTEM
  ibrav = 0, nat = 4, ntyp = 3
/
ATOMIC_SPECIES
Nb 92.91 Nb.upf
In 114.82 In.upf
Cu 63.55 Cu.upf
ATOMIC_POSITIONS crystal
Nb 0.000 0.000 0.000
In 0.500 0.500 0.000
Cu 0.000 0.500 0.500
Cu 0.500 0.000 0.500
CELL_PARAMETERS angstrom
4.096 0.000 0.000
0.000 4.096 0.000
0.000 0.000 3.850
```

As for the calculated formation energy: 0.131 eV per atom. As for the total magnetic moment: 0.0 Bohr magnetons per cell. Its total energy is -5.120 eV/atom.

The following is a DFT calculation (PBE) of a relaxed Nb3InCu2 crystal. Values from VASP.

Geometry as Quantum ESPRESSO input:
```
&SYSTEM
  ibrav = 0, nat = 12, ntyp = 3
/
ATOMIC_SPECIES
Nb 92.91 Nb.upf
In 114.82 In.upf
Cu 63.55 Cu.upf
ATOMIC_POSITIONS crystal
Nb 0.054 0.054 0.139
Nb 0.316 0.316 0.622
Nb 0.373 0.373 0.074
Nb 0.627 0.627 0.926
Nb 0.684 0.684 0.378
Nb 0.946 0.946 0.861
In 0.128 0.128 0.622
In 0.872 0.872 0.378
Cu 0.233 0.233 0.165
Cu 0.488 0.488 0.637
Cu 0.512 0.512 0.363
Cu 0.767 0.767 0.835
CELL_PARAMETERS angstrom
8.343 -1.429 0.000
8.343 1.429 0.000
-3.308 0.000 8.658
```

As for the calculated formation energy: 0.192 eV per atom. As for the total magnetic moment: 0.0 Bohr magnetons per cell. Its total energy is -6.665 eV/atom.

The following is a DFT calculation (PBE) of a relaxed NbInCu crystal. Values from VASP.

Geometry as Quantum ESPRESSO input:
```
&SYSTEM
  ibrav = 0, nat = 3, ntyp = 3
/
ATOMIC_SPECIES
Nb 92.91 Nb.upf
In 114.82 In.upf
Cu 63.55 Cu.upf
ATOMIC_POSITIONS crystal
Nb 0.000 0.000 0.000
In 0.309 0.309 0.000
Cu 0.651 0.651 0.000
CELL_PARAMETERS angstrom
-1.503 1.503 5.727
1.503 -1.503 5.727
1.503 1.503 -5.727
```

As for the calculated formation energy: 0.054 eV per atom. As for the total magnetic moment: 0.0 Bohr magnetons per cell. Its total energy is -5.581 eV/atom.